No. 1
CsTlCd2In4: optimized geometry, GGA-PBE.

Calculated values
Space-group type: No. 166
E_tot (eV/atom): -2.02
Crystal system: trigonal
DOS(E_F) (states/eV/f.u.): 3.502

Cell lengths 5.248, 5.248, 11.708 Å; angles 77.05, 77.05, 60.00 degrees
Element x y z (fractional)
Cs 0.000 0.000 0.000
Tl 0.500 0.500 0.500
Cd 0.769 0.769 0.692
Cd 0.231 0.231 0.308
In 0.409 0.409 0.772
In 0.874 0.874 0.377
In 0.126 0.126 0.623
In 0.591 0.591 0.228

No. 2
CsTl4Cd2In: optimized geometry, GGA-PBE.

Calculated values
Space-group type: No. 166
E_tot (eV/atom): -1.89
Crystal system: trigonal
DOS(E_F) (states/eV/f.u.): 4.398

Cell lengths 5.365, 5.365, 11.516 Å; angles 76.53, 76.53, 60.00 degrees
Element x y z (fractional)
Cs 0.000 0.000 0.000
Tl 0.407 0.407 0.779
Tl 0.869 0.869 0.393
Tl 0.131 0.131 0.607
Tl 0.593 0.593 0.221
Cd 0.765 0.765 0.704
Cd 0.235 0.235 0.296
In 0.500 0.500 0.500

No. 3
Cs2Tl2CdIn: optimized geometry, GGA-PBE.

Calculated values
Space-group type: No. 72
E_tot (eV/atom): -1.77
Crystal system: orthorhombic
DOS(E_F) (states/eV/f.u.): 3.593

Cell lengths 7.404, 7.354, 10.590 Å; angles 110.32, 110.46, 90.00 degrees
Element x y z (fractional)
Cs 0.417 0.169 0.338
Cs 0.583 0.831 0.662
Cs 0.078 0.331 0.662
Cs 0.922 0.669 0.338
Tl 0.842 0.093 0.185
Tl 0.343 0.593 0.185
Tl 0.657 0.407 0.815
Tl 0.158 0.907 0.815
Cd 0.500 0.750 0.000
Cd 0.500 0.250 0.000
In 0.000 0.750 0.000
In 0.000 0.250 0.000

No. 4
Cs2Tl4Cd3In: optimized geometry, GGA-PBE.

Calculated values
Space-group type: No. 115
E_tot (eV/atom): -1.72
Crystal system: tetragonal
DOS(E_F) (states/eV/f.u.): 5.544

Cell lengths 5.193, 5.193, 13.189 Å; angles 90.00, 90.00, 90.00 degrees
Element x y z (fractional)
Cs 0.500 0.000 0.251
Cs 0.000 0.500 0.749
Tl 0.500 0.500 0.000
Tl 0.000 0.000 0.000
Tl 0.500 0.000 0.631
Tl 0.000 0.500 0.369
Cd 0.000 0.000 0.500
Cd 0.500 0.000 0.868
Cd 0.000 0.500 0.132
In 0.500 0.500 0.500

No. 5
Cs2ZnCd4In2: optimized geometry, GGA-PBE.

Calculated values
Space-group type: No. 12
E_tot (eV/atom): -1.32
Crystal system: monoclinic
DOS(E_F) (states/eV/f.u.): 5.203

Cell lengths 6.421, 7.062, 7.062 Å; angles 66.46, 87.07, 87.07 degrees
Element x y z (fractional)
Cs 0.312 0.626 0.626
Cs 0.688 0.374 0.374
Zn 0.500 0.000 0.000
Cd 0.169 0.701 0.097
Cd 0.831 0.903 0.299
Cd 0.831 0.299 0.903
Cd 0.169 0.097 0.701
In 0.218 0.197 0.197
In 0.782 0.803 0.803

No. 6
CsZnCd2In: optimized geometry, GGA-PBE.

Calculated values
Space-group type: No. 123
E_tot (eV/atom): -1.26
Crystal system: tetragonal
DOS(E_F) (states/eV/f.u.): 1.574

Cell lengths 5.581, 5.581, 5.376 Å; angles 90.00, 90.00, 90.00 degrees
Element x y z (fractional)
Cs 0.500 0.500 0.500
Zn 0.000 0.000 0.000
Cd 0.000 0.500 0.000
Cd 0.500 0.000 0.000
In 0.000 0.000 0.500

No. 7
Cs2CdIr2: optimized geometry, GGA-PBE.

Calculated values
Space-group type: No. 139
E_tot (eV/atom): -3.58
Crystal system: tetragonal
DOS(E_F) (states/eV/f.u.): 5.889

Cell lengths 3.627, 3.627, 12.753 Å; angles 81.82, 81.82, 90.00 degrees
Element x y z (fractional)
Cs 0.371 0.371 0.258
Cs 0.629 0.629 0.742
Ir 0.750 0.250 0.500
Ir 0.250 0.750 0.500
Cd 0.000 0.000 0.000

No. 8
Cs2Cd2Ir: optimized geometry, GGA-PBE.

Calculated values
Space-group type: No. 127
E_tot (eV/atom): -2.16
Crystal system: tetragonal
DOS(E_F) (states/eV/f.u.): 1.773

Cell lengths 7.496, 7.496, 6.273 Å; angles 90.00, 90.00, 90.00 degrees
Element x y z (fractional)
Cs 0.174 0.674 0.500
Cs 0.674 0.826 0.500
Cs 0.826 0.326 0.500
Cs 0.326 0.174 0.500
Ir 0.000 0.000 0.000
Ir 0.500 0.500 0.000
Cd 0.314 0.814 0.000
Cd 0.814 0.686 0.000
Cd 0.686 0.186 0.000
Cd 0.186 0.314 0.000

No. 9
CsLa2CdIr: optimized geometry, GGA-PBE.

Calculated values
Space-group type: No. 123
E_tot (eV/atom): -4.25
Crystal system: tetragonal
DOS(E_F) (states/eV/f.u.): 5.317

Cell lengths 5.640, 5.640, 5.582 Å; angles 90.00, 90.00, 90.00 degrees
Element x y z (fractional)
Cs 0.500 0.500 0.500
Cd 0.000 0.000 0.500
Ir 0.000 0.000 0.000
La 0.000 0.500 0.000
La 0.500 0.000 0.000

No. 10
CsLiCd2Ir: optimized geometry, GGA-PBE.

Calculated values
Space-group type: No. 123
E_tot (eV/atom): -2.60
Crystal system: tetragonal
DOS(E_F) (states/eV/f.u.): 2.273

Cell lengths 5.363, 5.363, 5.096 Å; angles 90.00, 90.00, 90.00 degrees
Element x y z (fractional)
Cs 0.500 0.500 0.500
Ir 0.000 0.000 0.000
Li 0.000 0.000 0.500
Cd 0.000 0.500 0.000
Cd 0.500 0.000 0.000

No. 11
CsMgCd2Ir: optimized geometry, GGA-PBE.

Calculated values
Space-group type: No. 123
E_tot (eV/atom): -2.64
Crystal system: tetragonal
DOS(E_F) (states/eV/f.u.): 2.002

Cell lengths 5.411, 5.411, 5.130 Å; angles 90.00, 90.00, 90.00 degrees
Element x y z (fractional)
Cs 0.500 0.500 0.500
Mg 0.000 0.000 0.500
Ir 0.000 0.000 0.000
Cd 0.000 0.500 0.000
Cd 0.500 0.000 0.000

No. 12
Cs3Cd2IrO6: optimized geometry, GGA-PBE.

Calculated values
Space-group type: No. 12
E_tot (eV/atom): -4.57
Crystal system: monoclinic
DOS(E_F) (states/eV/f.u.): 3.698

Cell lengths 6.121, 6.121, 6.841 Å; angles 98.29, 98.29, 120.19 degrees
Element x y z (fractional)
Cs 0.170 0.830 0.500
Cs 0.830 0.170 0.500
Cs 0.500 0.500 0.500
Cd 0.334 0.666 0.000
Cd 0.666 0.334 0.000
Ir 0.000 0.000 0.000
O 0.944 0.663 0.840
O 0.775 0.775 0.168
O 0.056 0.337 0.160
O 0.663 0.944 0.840
O 0.225 0.225 0.832
O 0.337 0.056 0.160

No. 13
Cs2Cd2IrO6: optimized geometry, GGA-PBE.

Calculated values
Space-group type: No. 12
E_tot (eV/atom): -4.83
Crystal system: monoclinic
DOS(E_F) (states/eV/f.u.): 5.646

Cell lengths 5.859, 5.859, 7.072 Å; angles 98.94, 98.94, 118.52 degrees
Element x y z (fractional)
Cs 0.828 0.172 0.000
Cs 0.172 0.828 0.000
Cd 0.336 0.664 0.500
Cd 0.664 0.336 0.500
Ir 0.000 0.000 0.500
O 0.779 0.779 0.658
O 0.053 0.336 0.660
O 0.221 0.221 0.342
O 0.336 0.053 0.660
O 0.947 0.664 0.340
O 0.664 0.947 0.340

No. 14
Cs2CdIrO4: optimized geometry, GGA-PBE.

Calculated values
Space-group type: No. 70
E_tot (eV/atom): -4.84
Crystal system: orthorhombic
DOS(E_F) (states/eV/f.u.): 6.030

Cell lengths 6.327, 7.827, 11.462 Å; angles 83.60, 73.98, 66.16 degrees
Element x y z (fractional)
Cs 0.176 0.000 0.648
Cs 0.824 0.000 0.352
Cs 0.574 0.500 0.852
Cs 0.926 0.500 0.148
Cd 0.750 0.500 0.500
Cd 0.000 0.000 0.000
Ir 0.250 0.500 0.500
Ir 0.500 0.000 0.000
O 0.375 0.812 0.004
O 0.192 0.188 0.996
O 0.812 0.812 0.996
O 0.620 0.188 0.004
O 0.375 0.688 0.496
O 0.558 0.312 0.504
O 0.938 0.688 0.504
O 0.130 0.312 0.496

No. 15
CsCd2PIr: optimized geometry, GGA-PBE.

Calculated values
Space-group type: No. 123
E_tot (eV/atom): -3.46
Crystal system: tetragonal
DOS(E_F) (states/eV/f.u.): 3.242

Cell lengths 5.440, 5.440, 4.559 Å; angles 90.00, 90.00, 90.00 degrees
Element x y z (fractional)
Cs 0.500 0.500 0.500
P 0.000 0.000 0.500
Ir 0.000 0.000 0.000
Cd 0.000 0.500 0.000
Cd 0.500 0.000 0.000

No. 16
CsCd2SbIr: optimized geometry, GGA-PBE.

Calculated values
Space-group type: No. 123
E_tot (eV/atom): -3.20
Crystal system: tetragonal
DOS(E_F) (states/eV/f.u.): 3.347

Cell lengths 5.423, 5.423, 5.139 Å; angles 90.00, 90.00, 90.00 degrees
Element x y z (fractional)
Cs 0.500 0.500 0.500
Sb 0.000 0.000 0.500
Ir 0.000 0.000 0.000
Cd 0.000 0.500 0.000
Cd 0.500 0.000 0.000

No. 17
CsCd2SiIr: optimized geometry, GGA-PBE.

Calculated values
Space-group type: No. 123
E_tot (eV/atom): -3.53
Crystal system: tetragonal
DOS(E_F) (states/eV/f.u.): 1.015

Cell lengths 5.432, 5.432, 4.621 Å; angles 90.00, 90.00, 90.00 degrees
Element x y z (fractional)
Cs 0.500 0.500 0.500
Si 0.000 0.000 0.500
Ir 0.000 0.000 0.000
Cd 0.000 0.500 0.000
Cd 0.500 0.000 0.000

No. 18
Cs2CdTcIr: optimized geometry, GGA-PBE.

Calculated values
Space-group type: No. 123
E_tot (eV/atom): -2.87
Crystal system: tetragonal
DOS(E_F) (states/eV/f.u.): 5.022

Cell lengths 6.272, 5.295, 6.272 Å; angles 90.00, 90.00, 90.00 degrees
Element x y z (fractional)
Cs 0.000 0.000 0.500
Cs 0.500 0.000 0.000
Ir 0.000 0.000 0.000
Tc 0.500 0.500 0.500
Cd 0.000 0.500 0.000

No. 19
CsTlCd2Ir: optimized geometry, GGA-PBE.

Calculated values
Space-group type: No. 123
E_tot (eV/atom): -2.83
Crystal system: tetragonal
DOS(E_F) (states/eV/f.u.): 1.809

Cell lengths 5.420, 5.420, 5.324 Å; angles 90.00, 90.00, 90.00 degrees
Element x y z (fractional)
Cs 0.500 0.500 0.500
Tl 0.000 0.000 0.500
Ir 0.000 0.000 0.000
Cd 0.000 0.500 0.000
Cd 0.500 0.000 0.000

No. 20
CsZnCd2Ir: optimized geometry, GGA-PBE.

Calculated values
Space-group type: No. 123
E_tot (eV/atom): -2.57
Crystal system: tetragonal
DOS(E_F) (states/eV/f.u.): 2.685

Cell lengths 5.376, 5.376, 5.002 Å; angles 90.00, 90.00, 90.00 degrees
Element x y z (fractional)
Cs 0.500 0.500 0.500
Zn 0.000 0.000 0.500
Ir 0.000 0.000 0.000
Cd 0.000 0.500 0.000
Cd 0.500 0.000 0.000

No. 21
Cs8K2Cd3: optimized geometry, GGA-PBE.

Calculated values
Space-group type: No. 10
E_tot (eV/atom): -0.85
Crystal system: monoclinic
DOS(E_F) (states/eV/f.u.): 13.820

Cell lengths 6.797, 14.085, 13.492 Å; angles 121.37, 90.00, 90.00 degrees
Element x y z (fractional)
Cs 0.000 0.601 0.201
Cs 0.000 0.399 0.799
Cs 0.000 0.100 0.200
Cs 0.000 0.900 0.800
Cs 0.500 0.652 0.795
Cs 0.500 0.143 0.794
Cs 0.500 0.857 0.206
Cs 0.500 0.348 0.205
K 0.500 0.248 0.496
K 0.500 0.752 0.504
Cd 0.500 0.000 0.000
Cd 0.000 0.245 0.999
Cd 0.000 0.755 0.001

No. 22
CsK2Cd6: optimized geometry, GGA-PBE.

Calculated values
Space-group type: No. 191
E_tot (eV/atom): -0.99
Crystal system: hexagonal
DOS(E_F) (states/eV/f.u.): 4.506

Cell lengths 5.297, 8.713, 8.713 Å; angles 120.00, 90.00, 90.00 degrees
Element x y z (fractional)
Cs 0.000 0.000 0.000
K 0.000 0.333 0.667
K 0.000 0.667 0.333
Cd 0.500 0.335 0.335
Cd 0.500 0.665 0.665
Cd 0.500 0.000 0.665
Cd 0.500 0.665 0.000
Cd 0.500 0.335 0.000
Cd 0.500 0.000 0.335

No. 23
Cs2K3Cd4: optimized geometry, GGA-PBE.

Calculated values
Space-group type: No. 14
E_tot (eV/atom): -1.00
Crystal system: monoclinic
DOS(E_F) (states/eV/f.u.): 5.540

Cell lengths 9.597, 9.936, 9.852 Å; angles 90.00, 90.00, 107.46 degrees
Element x y z (fractional)
Cs 0.571 0.190 0.331
Cs 0.929 0.810 0.831
Cs 0.429 0.810 0.669
Cs 0.071 0.190 0.169
K 0.000 0.500 0.500
K 0.500 0.500 0.000
K 0.749 0.250 0.816
K 0.751 0.750 0.316
K 0.251 0.750 0.184
K 0.249 0.250 0.684
Cd 0.886 0.072 0.533
Cd 0.614 0.928 0.033
Cd 0.114 0.928 0.467
Cd 0.386 0.072 0.967
Cd 0.887 0.496 0.108
Cd 0.613 0.504 0.608
Cd 0.113 0.504 0.892
Cd 0.387 0.496 0.392